## ZrMnHg2 (GGA-PBE)

Data for a geometry-optimized ZrMnHg2 structure.

Values from the calculation:
The total energy comes out at -4.436 eV per atom. As for the energy of formation: 0.58 eV/f.u.

a = 5.532 Å, b = 5.532 Å, c = 5.129 Å
α = 70.38°, β = 70.38°, γ = 33.39°
Site moments in Bohr magnetons follow the coordinates.
Fractional coordinates of all 4 atoms:
Hg  0.004  0.004  0.984  -0.04
Hg  0.766  0.766  0.757  -0.03
Mn  0.497  0.497  0.473  3.46
Zr  0.233  0.233  0.286  -0.49

***

## Ni2AsOs (GGA-PBE)

Data for a geometry-optimized Ni2AsOs structure.

Values from the calculation:
The total energy comes out at -6.524 eV per atom. As for the energy of formation: 1.35 eV/f.u.

a = 2.690 Å, b = 2.690 Å, c = 8.492 Å
α = 90.00°, β = 90.00°, γ = 118.89°
Fractional coordinates of all 4 atoms:
As  0.500  0.500  0.750
Ni  0.000  0.000  0.997
Ni  0.000  0.000  0.503
Os  0.500  0.500  0.250

***

## LiYSc2Cd4 (GGA-PBE)

Data for a geometry-optimized LiYSc2Cd4 structure.

Values from the calculation:
The total energy comes out at -3.348 eV per atom. As for the energy of formation: -2.09 eV/f.u.

a = 5.014 Å, b = 5.014 Å, c = 8.813 Å
α = 73.47°, β = 73.47°, γ = 60.00°
Fractional coordinates of all 8 atoms:
Li  0.500  0.500  0.500
Y  0.000  0.000  0.000
Sc  0.751  0.751  0.746
Sc  0.249  0.249  0.254
Cd  0.384  0.384  0.849
Cd  0.872  0.872  0.383
Cd  0.128  0.128  0.617
Cd  0.616  0.616  0.151

***

## TaCoSN2 (GGA-PBE)

Data for a geometry-optimized TaCoSN2 structure.

Values from the calculation:
The value obtained for the offset from the most stable computed form is 337 meV per atom. The total energy comes out at -7.100 eV per atom. The uncorrected formation energy is 0.848 eV/atom.

a = 3.680 Å, b = 3.680 Å, c = 4.281 Å
α = 90.00°, β = 90.00°, γ = 90.00°
Fractional coordinates of all 5 atoms:
S  0.000  0.000  0.500
N  0.000  0.500  0.000
N  0.500  0.000  0.000
Co  0.000  0.000  0.000
Ta  0.500  0.500  0.500

***

## Mn2AsPt2 (GGA-PBE)

Data for a geometry-optimized Mn2AsPt2 structure.

Values from the calculation:
The value obtained for the offset from the most stable computed form is 158 meV per atom. The total energy comes out at -6.832 eV per atom. As for the energy of formation: 0.91 eV/f.u.

a = 7.522 Å, b = 7.522 Å, c = 2.658 Å
α = 90.00°, β = 90.00°, γ = 90.00°
Fractional coordinates of all 10 atoms:
As  0.000  0.000  0.000
As  0.500  0.500  0.000
Mn  0.098  0.598  0.500
Mn  0.598  0.902  0.500
Mn  0.902  0.402  0.500
Mn  0.402  0.098  0.500
Pt  0.310  0.810  0.000
Pt  0.810  0.690  0.000
Pt  0.690  0.190  0.000
Pt  0.190  0.310  0.000

***

## PmDy12Ho5 (GGA-PBE)

Data for a geometry-optimized PmDy12Ho5 structure.

Values from the calculation:
The total energy comes out at -4.585 eV per atom. As for the energy of formation: 0.34 eV/f.u.

a = 15.012 Å, b = 10.624 Å, c = 5.006 Å
α = 90.00°, β = 90.00°, γ = 45.05°
Fractional coordinates of all 18 atoms:
Pm  0.000  0.000  0.000
Dy  0.832  0.000  0.500
Dy  0.168  0.000  0.500
Dy  0.666  0.000  0.000
Dy  0.334  0.000  0.000
Dy  0.334  0.666  0.000
Dy  0.000  0.666  0.000
Dy  0.000  0.334  0.000
Dy  0.666  0.334  0.000
Dy  0.500  0.333  0.500
Dy  0.833  0.667  0.500
Dy  0.167  0.333  0.500
Dy  0.500  0.667  0.500
Ho  0.500  0.000  0.500
Ho  0.168  0.665  0.500
Ho  0.832  0.335  0.500
Ho  0.666  0.667  0.000
Ho  0.334  0.333  0.000

***

## SbTeBr2 (GGA-PBE)

Data for a geometry-optimized SbTeBr2 structure.

Values from the calculation:
The value obtained for the offset from the most stable computed form is 547 meV per atom. The total energy comes out at -2.400 eV per atom. The uncorrected formation energy is 0.253 eV/atom.

a = 4.757 Å, b = 4.757 Å, c = 4.763 Å
α = 90.00°, β = 90.00°, γ = 90.00°
Fractional coordinates of all 4 atoms:
Sb  0.500  0.000  0.500
Te  0.000  0.500  0.500
Br  0.000  0.000  0.000
Br  0.500  0.500  0.000

***

## Cs3Li2PmCl9 (GGA-PBE)

Data for a geometry-optimized Cs3Li2PmCl9 structure.

Values from the calculation:
The total energy comes out at -3.711 eV per atom. The uncorrected formation energy is -1.860 eV/atom.

a = 7.467 Å, b = 7.467 Å, c = 9.334 Å
α = 90.00°, β = 90.00°, γ = 120.00°
Site moments in Bohr magnetons follow the coordinates.
Fractional coordinates of all 15 atoms:
Cs  0.333  0.667  0.676  0.00
Cs  0.000  0.000  0.000  0.00
Cs  0.667  0.333  0.324  0.00
Li  0.333  0.667  0.154  0.00
Li  0.667  0.333  0.846  0.00
Pm  0.000  0.000  0.500  0.00
Cl  0.830  0.170  0.670  0.03
Cl  0.830  0.660  0.670  0.03
Cl  0.340  0.170  0.670  0.03
Cl  0.660  0.830  0.330  0.03
Cl  0.170  0.340  0.330  0.03
Cl  0.170  0.830  0.330  0.03
Cl  0.500  0.000  0.000  0.22
Cl  0.000  0.500  0.000  0.22
Cl  0.500  0.500  0.000  0.22

***

## YScH (GGA-PBE)

Data for a geometry-optimized YScH structure.

Values from the calculation:
The value obtained for the offset from the most stable computed form is 0 meV per atom. The total energy comes out at -5.700 eV per atom.

a = 3.491 Å, b = 5.537 Å, c = 12.131 Å
α = 90.00°, β = 90.00°, γ = 90.00°
Fractional coordinates of all 12 atoms:
Y  0.250  0.251  0.456
Y  0.750  0.749  0.544
Y  0.750  0.751  0.044
Y  0.250  0.249  0.956
Sc  0.250  0.723  0.286
Sc  0.750  0.277  0.714
Sc  0.750  0.223  0.214
Sc  0.250  0.777  0.786
H  0.250  0.155  0.781
H  0.750  0.845  0.219
H  0.750  0.655  0.719
H  0.250  0.345  0.281

***

## BaHgBi (GGA-PBE)

Data for a geometry-optimized BaHgBi structure.

Values from the calculation:
The value obtained for the offset from the most stable computed form is 108 meV per atom. The total energy comes out at -2.515 eV per atom. As for the energy of formation: -1.44 eV/f.u.

a = 4.573 Å, b = 8.716 Å, c = 11.783 Å
α = 90.00°, β = 90.00°, γ = 90.00°
Fractional coordinates of all 12 atoms:
Bi  0.750  0.993  0.401
Bi  0.250  0.493  0.099
Bi  0.750  0.507  0.901
Bi  0.250  0.007  0.599
Ba  0.750  0.810  0.132
Ba  0.250  0.190  0.868
Ba  0.750  0.690  0.632
Ba  0.250  0.310  0.368
Hg  0.750  0.288  0.608
Hg  0.750  0.212  0.108
Hg  0.250  0.712  0.392
Hg  0.250  0.788  0.892

***

## Na2SeCl5 (GGA-PBE)

Data for a geometry-optimized Na2SeCl5 structure.

Values from the calculation:
The total energy comes out at -2.879 eV per atom. The uncorrected formation energy is -0.959 eV/atom.

a = 7.589 Å, b = 7.238 Å, c = 8.559 Å
α = 125.21°, β = 116.31°, γ = 90.00°
Site moments in Bohr magnetons follow the coordinates.
Fractional coordinates of all 8 atoms:
Na  0.999  0.525  0.998  0.00
Na  0.622  0.218  0.244  0.00
Se  0.057  0.077  0.114  0.40
Cl  0.778  0.231  0.009  0.03
Cl  0.231  0.231  0.009  0.03
Cl  0.900  0.954  0.244  0.02
Cl  0.344  0.954  0.244  0.02
Cl  0.846  0.587  0.692  0.20

***

## AsIr2Os (GGA-PBE)

Data for a geometry-optimized AsIr2Os structure.

Values from the calculation:
The total energy comes out at -8.126 eV per atom. As for the energy of formation: 1.10 eV/f.u.

a = 4.735 Å, b = 4.735 Å, c = 4.891 Å
α = 75.02°, β = 75.02°, γ = 34.52°
Fractional coordinates of all 4 atoms:
As  0.240  0.240  0.211
Ir  0.989  0.989  0.021
Ir  0.758  0.758  0.738
Os  0.514  0.514  0.530

***

Calculated values (μB/cell) of total moment for the records, taken in order: 2.79 0.00 0.00 0.00 0.00 0.00 0.00 1.07 0.00 0.00 1.00 0.00.